1.
Material: RhCI3
Method: DFT, PBE
State: optimized geometry

Values from the calculation:
Formation energy from raw total energies = 1560 meV per atom
ρ = 5.24 g cm⁻³
Total moment = 0.9 Bohr magnetons per cell
Density of states at the Fermi level = 1.0899 states/eV/atom
Offset from the most stable computed form = 0.00 eV per formula unit

```
RhCI3
1.0
5.3945 0.0000 0.0000
0.0000 5.3945 0.0000
0.0000 0.0000 5.3945
Rh C I
1 1 3
Direct
0.0000 0.0000 0.0000
0.5000 0.5000 0.5000
0.0000 0.0000 0.5000
0.0000 0.5000 0.0000
0.5000 0.0000 0.0000
```

***

2.
Material: RhC3I
Method: DFT, PBE
State: optimized geometry

Values from the calculation:
Formation energy from raw total energies = 2352 meV per atom
ρ = 6.41 g cm⁻³
Total moment = 0.6 Bohr magnetons per cell
Density of states at the Fermi level = 0.8039 states/eV/atom
Offset from the most stable computed form = 0.00 eV per formula unit

```
RhC3I
1.0
4.0994 0.0000 0.0000
0.0000 4.0994 0.0000
0.0000 0.0000 4.0994
Rh C I
1 3 1
Direct
0.0000 0.0000 0.0000
0.0000 0.0000 0.5000
0.0000 0.5000 0.0000
0.5000 0.0000 0.0000
0.5000 0.5000 0.5000
```

***

3.
Material: RhC3I
Method: DFT, PBE
State: optimized geometry

Values from the calculation:
Formation energy from raw total energies = 3500 meV per atom
ρ = 6.57 g cm⁻³
Total moment = 0.0 Bohr magnetons per cell
Density of states at the Fermi level = 0.4264 states/eV/atom
Offset from the most stable computed form = 5.74 eV per formula unit

```
RhC3I
1.0
4.0655 0.0000 0.0000
0.0000 4.0655 0.0000
0.0000 0.0000 4.0655
Rh C I
1 3 1
Direct
0.0000 0.0000 0.0000
0.0000 0.5000 0.5000
0.5000 0.0000 0.5000
0.5000 0.5000 0.0000
0.5000 0.5000 0.5000
```

***

4.
Material: RhCI2
Method: DFT, PBE
State: optimized geometry

Values from the calculation:
Formation energy from raw total energies = 1460 meV per atom
ρ = 6.14 g cm⁻³
Total moment = 0.0 Bohr magnetons per cell
Density of states at the Fermi level = 0.9704 states/eV/atom
Offset from the most stable computed form = 0.00 eV per formula unit

```
RhCI2
1.0
-2.8843 2.8843 5.9929
2.8843 -2.8843 5.9929
2.8843 2.8843 -5.9929
Rh C I
2 2 4
Direct
0.0000 0.0000 0.0000
0.7500 0.2500 0.5000
0.2500 0.7500 0.5000
0.5000 0.5000 0.0000
0.1443 0.6250 0.0193
0.3750 0.3943 0.5193
0.6057 0.1250 0.9807
0.8750 0.8557 0.4807
```